10
Lattice="3.611 0.794 -0.950 2.244 6.683 -1.246 -1.179 -1.426 8.811" Properties=species:S:1:pos:R:3 comment="CoClF3 | Alexandria | PBE with a Hubbard U | optimized geometry" sg="P-1 (2)" de_polymorph_ev_per_fu=0.000 pbc="T T T"
Co 3.650 2.664 3.260
Co 2.966 5.605 3.113
Cl 2.832 2.510 7.238
Cl 3.778 5.760 -0.869
F 0.088 0.270 3.070
F 0.672 0.522 5.499
F 1.844 2.261 3.732
F 3.016 4.002 1.976
F 4.772 6.007 2.641
F 3.600 4.266 4.397